#A
CdSnTeO: optimized geometry, PBE.

Cell lengths 6.8614, 4.0364, 13.6097 Å; angles 90.00, 90.00, 90.00 degrees
Sites, in units of the cell vectors:
Cd1 0.6974 0.2500 0.9670
Cd2 0.8026 0.7500 0.4670
Cd3 0.3026 0.7500 0.0330
Cd4 0.1974 0.2500 0.5330
O1 0.4389 0.2500 0.0851
O2 0.9389 0.2500 0.4149
O3 0.5611 0.7500 0.9149
O4 0.0611 0.7500 0.5851
Sn1 0.1065 0.2500 0.2855
Sn2 0.3935 0.7500 0.7855
Sn3 0.8935 0.7500 0.7145
Sn4 0.6065 0.2500 0.2145
Te1 0.0903 0.2500 0.8760
Te2 0.9097 0.7500 0.1240
Te3 0.4097 0.7500 0.3760
Te4 0.5903 0.2500 0.6240

#B
CdSnTeO: optimized geometry, PBE.

Cell lengths 4.1586, 4.1586, 10.4367 Å; angles 90.00, 90.00, 90.00 degrees
Sites, in units of the cell vectors:
Sn1 0.7500 0.7500 0.4046
Sn2 0.2500 0.2500 0.5954
O1 0.2500 0.7500 0.5000
O2 0.7500 0.2500 0.5000
Te1 0.2500 0.2500 0.1650
Te2 0.7500 0.7500 0.8350
Cd1 0.2500 0.2500 0.8866
Cd2 0.7500 0.7500 0.1135

Q: Which of them is the most stable? A: #B.

#A
TmSiHO4: optimized geometry, PBE.

Cell lengths 5.3471, 10.9165, 5.9277 Å; angles 90.00, 90.00, 114.78 degrees
Sites, in units of the cell vectors:
O1 0.7749 0.5530 0.4439
O2 0.2366 0.2250 0.8432
O3 0.7520 0.7523 0.6629
O4 0.7821 0.0332 0.6334
O5 0.2251 0.4470 0.5561
O6 0.7821 0.5332 0.8666
O7 0.2179 0.4668 0.1334
O8 0.7520 0.2523 0.8371
O9 0.2179 0.9668 0.3666
O10 0.2480 0.7477 0.1629
O11 0.7749 0.0530 0.0561
O12 0.2480 0.2477 0.3371
O13 0.7634 0.7750 0.1568
O14 0.2251 0.9470 0.9439
O15 0.7634 0.2750 0.3432
O16 0.2366 0.7250 0.6568
Tm1 0.5664 0.3514 0.6078
Tm2 0.4336 0.1486 0.1078
Tm3 0.4336 0.6486 0.3922
Tm4 0.5664 0.8514 0.8922
Si1 0.0957 0.3490 0.3382
Si2 0.9043 0.6510 0.6618
Si3 0.0957 0.8490 0.1618
Si4 0.9043 0.1510 0.8382
H1 0.1666 0.4464 0.9749
H2 0.8335 0.5536 0.0251
H3 0.1666 0.9464 0.5251
H4 0.8334 0.0536 0.4749

- M_tot (Bohr magnetons per cell) = 0.002

#B
TmSiHO4: optimized geometry, PBE.

Cell lengths 7.6280, 6.4223, 6.7022 Å; angles 90.00, 113.01, 90.00 degrees
Sites, in units of the cell vectors:
O1 0.7255 0.0364 0.0527
O2 0.2745 0.9636 0.9473
O3 0.2015 0.9353 0.2861
O4 0.8986 0.6978 0.9435
O5 0.4655 0.2921 0.7752
O6 0.7985 0.4353 0.2139
O7 0.7985 0.0647 0.7139
O8 0.2745 0.5364 0.4473
O9 0.5345 0.7079 0.2248
O10 0.7255 0.4636 0.5527
O11 0.4655 0.2079 0.2752
O12 0.1014 0.3022 0.0565
O13 0.2015 0.5647 0.7861
O14 0.8986 0.8022 0.4435
O15 0.5345 0.7921 0.7248
O16 0.1014 0.1978 0.5565
Si1 0.7537 0.6061 0.3660
Si2 0.2463 0.3939 0.6340
Si3 0.7537 0.8939 0.8660
Si4 0.2463 0.1061 0.1340
Tm1 0.2054 0.8600 0.6088
Tm2 0.7946 0.3600 0.8912
Tm3 0.7946 0.1400 0.3912
Tm4 0.2054 0.6400 0.1088
H1 0.5261 0.6868 0.6141
H2 0.4739 0.1868 0.8859
H3 0.4739 0.3132 0.3859
H4 0.5261 0.8132 0.1141

- M_tot (Bohr magnetons per cell) = 0.006

Q: Which of them is the most stable? A: #B.

#A
Pt: optimized geometry, PBE.

Cell lengths 2.7630, 2.7630, 42.7347 Å; angles 90.00, 90.00, 90.00 degrees
Sites, in units of the cell vectors:
Pt1 0.0000 0.5000 0.6180
Pt2 0.0000 0.5000 0.8072
Pt3 0.5000 0.0000 0.3820
Pt4 0.5000 0.0000 0.6653
Pt5 0.5000 0.0000 0.8535
Pt6 0.0000 0.5000 0.3347
Pt7 0.5000 0.0000 0.4764
Pt8 0.0000 0.5000 0.1465
Pt9 0.5000 0.0000 0.7600
Pt10 0.5000 0.0000 0.2874
Pt11 0.0000 0.5000 0.2400
Pt12 0.5000 0.0000 0.5707
Pt13 0.0000 0.5000 0.5236
Pt14 0.5000 0.0000 0.1928
Pt15 0.0000 0.5000 0.7126
Pt16 0.0000 0.5000 0.4293

- M_tot (Bohr magnetons per cell) = 0.006

#B
Pt: optimized geometry, PBE.

Cell lengths 2.8011, 2.8011, 2.8011 Å; angles 120.00, 90.00, 120.00 degrees
Sites, in units of the cell vectors:
Pt1 0.0000 0.0000 0.0000

- M_tot (Bohr magnetons per cell) = 0.022

Q: Which of them is the most stable? A: #B.

#A
SrScAuSe3: optimized geometry, PBE.

Cell lengths 7.8964, 4.0234, 9.5316 Å; angles 90.00, 106.09, 90.00 degrees
Sites, in units of the cell vectors:
Se1 0.3087 0.7500 0.5409
Se2 0.4329 0.7500 0.1333
Se3 0.9114 0.7500 0.1411
Se4 0.0886 0.2500 0.8589
Se5 0.6913 0.2500 0.4591
Se6 0.5671 0.2500 0.8667
Sc1 0.3207 0.7500 0.8346
Sc2 0.6793 0.2500 0.1654
Au1 0.1125 0.2500 0.5914
Au2 0.8875 0.7500 0.4086
Sr1 0.2240 0.2500 0.2697
Sr2 0.7760 0.7500 0.7303

- M_tot (Bohr magnetons per cell) = 0.002

#B
SrScAuSe3: optimized geometry, PBE.

Cell lengths 11.5610, 3.9845, 13.2656 Å; angles 90.00, 90.00, 90.00 degrees
Sites, in units of the cell vectors:
Au1 0.6749 0.5000 0.7671
Au2 0.1749 0.5000 0.7329
Au3 0.8251 0.0000 0.2671
Au4 0.3251 0.0000 0.2329
Sr1 0.2538 0.5000 0.4629
Sr2 0.7538 0.5000 0.0371
Sr3 0.2462 0.0000 0.9629
Sr4 0.7462 0.0000 0.5371
Se1 0.9510 0.0000 0.1120
Se2 0.7741 0.0000 0.8587
Se3 0.2259 0.5000 0.1413
Se4 0.5490 0.5000 0.6120
Se5 0.9258 0.5000 0.6263
Se6 0.4510 0.0000 0.3880
Se7 0.0742 0.0000 0.3738
Se8 0.4258 0.5000 0.8737
Se9 0.7259 0.5000 0.3587
Se10 0.2741 0.0000 0.6413
Se11 0.0490 0.5000 0.8880
Se12 0.5742 0.0000 0.1263
Sc1 0.4745 0.0000 0.7415
Sc2 0.9745 0.0000 0.7585
Sc3 0.5255 0.5000 0.2585
Sc4 0.0255 0.5000 0.2415

- M_tot (Bohr magnetons per cell) = 0.017

Q: Which of them is the most stable? A: #A.

#A
NdPdNO: optimized geometry, PBE.

Cell lengths 4.1006, 4.6494, 6.9240 Å; angles 90.00, 90.00, 90.00 degrees
Sites, in units of the cell vectors:
N1 0.0000 0.3838 0.6657
N2 0.0000 0.8838 0.3343
O1 0.5000 0.4553 0.1366
O2 0.5000 0.9553 0.8634
Nd1 0.5000 0.9605 0.1929
Nd2 0.5000 0.4605 0.8071
Pd1 0.0000 0.9544 0.6130
Pd2 0.0000 0.4544 0.3870

- M_tot (Bohr magnetons per cell) = 0.001

#B
NdPdNO: optimized geometry, PBE.

Cell lengths 4.9672, 4.9672, 4.6027 Å; angles 90.00, 90.00, 90.00 degrees
Sites, in units of the cell vectors:
Nd1 0.0000 0.0000 0.5000
Nd2 0.5000 0.5000 0.5000
Pd1 0.5000 0.0000 0.0009
Pd2 0.0000 0.5000 0.9991
N1 0.5000 0.0000 0.5042
N2 0.0000 0.5000 0.4958
O1 0.5000 0.5000 0.0000
O2 0.0000 0.0000 0.0000

- M_tot (Bohr magnetons per cell) = 0.004

Q: Which of them is the most stable? A: #A.

#A
PmTeNO: optimized geometry, PBE.

Cell lengths 4.5487, 4.5487, 7.3137 Å; angles 90.00, 90.00, 90.00 degrees
Sites, in units of the cell vectors:
Pm1 0.7500 0.7500 0.8741
Pm2 0.2500 0.2500 0.1259
Te1 0.7500 0.2500 0.5000
Te2 0.2500 0.7500 0.5000
N1 0.7500 0.7500 0.5466
N2 0.2500 0.2500 0.4534
O1 0.2500 0.7500 0.0000
O2 0.7500 0.2500 0.0000

- M_tot (Bohr magnetons per cell) = 0.000

#B
PmTeNO: optimized geometry, PBE.

Cell lengths 5.1301, 5.1301, 4.9217 Å; angles 90.00, 90.00, 90.00 degrees
Sites, in units of the cell vectors:
Te1 0.0000 0.5000 0.9875
Te2 0.5000 0.0000 0.0125
Pm1 0.0000 0.0000 0.5000
Pm2 0.5000 0.5000 0.5000
N1 0.5000 0.0000 0.5983
N2 0.0000 0.5000 0.4017
O1 0.5000 0.5000 0.0000
O2 0.0000 0.0000 0.0000

- M_tot (Bohr magnetons per cell) = 0.011

Q: Which of them is the most stable? A: #A.

#A
CdHgSO: optimized geometry, PBE.

Cell lengths 6.7828, 7.9448, 6.3581 Å; angles 90.00, 90.00, 90.00 degrees
Sites, in units of the cell vectors:
Cd1 0.4356 0.6495 0.0299
Cd2 0.9356 0.3505 0.0299
Cd3 0.0644 0.6495 0.5299
Cd4 0.5644 0.3505 0.5299
S1 0.5716 0.3616 0.1284
S2 0.0716 0.6384 0.1284
S3 0.9284 0.3616 0.6284
S4 0.4284 0.6384 0.6284
O1 0.9228 0.8889 0.6155
O2 0.4228 0.1111 0.6155
O3 0.0772 0.1111 0.1155
O4 0.5772 0.8889 0.1155
Hg1 0.1112 0.1080 0.4762
Hg2 0.6112 0.8920 0.4762
Hg3 0.8888 0.8920 0.9762
Hg4 0.3888 0.1080 0.9762

#B
CdHgSO: optimized geometry, PBE.

Cell lengths 4.9172, 4.9172, 7.0501 Å; angles 90.00, 90.00, 90.00 degrees
Sites, in units of the cell vectors:
Hg1 0.7500 0.7500 0.7681
Hg2 0.2500 0.2500 0.2319
Cd1 0.7500 0.7500 0.3409
Cd2 0.2500 0.2500 0.6591
O1 0.7500 0.7500 0.0519
O2 0.2500 0.2500 0.9481
S1 0.7500 0.2500 0.5000
S2 0.2500 0.7500 0.5000

Q: Which of them is the most stable? A: #A.

#A
KTaNO: optimized geometry, PBE.

Cell lengths 3.7576, 6.1693, 6.3536 Å; angles 90.00, 90.00, 90.00 degrees
Sites, in units of the cell vectors:
N1 0.0000 0.2558 0.5067
N2 0.0000 0.7558 0.4933
O1 0.5000 0.9972 0.7795
O2 0.5000 0.4972 0.2206
K1 0.5000 0.0006 0.2031
K2 0.5000 0.5006 0.7969
Ta1 0.0000 0.5005 0.3209
Ta2 0.0000 0.0005 0.6791

- M_tot (Bohr magnetons per cell) = 1.654

#B
KTaNO: optimized geometry, PBE.

Cell lengths 4.0365, 4.0365, 10.4727 Å; angles 90.00, 90.00, 90.00 degrees
Site moments in Bohr magnetons follow the coordinates.
Sites, in units of the cell vectors:
Ta1 0.5000 0.5000 0.5000  -0.03
Ta2 0.0000 0.0000 0.5000  -0.02
O1 0.5000 0.5000 0.0000  -0.93
O2 0.0000 0.0000 0.0000  -0.93
N1 0.5000 0.0000 0.4488  0.00
N2 0.0000 0.5000 0.5512  0.00
K1 0.0000 0.5000 0.1489  0.00
K2 0.5000 0.0000 0.8511  0.00

- M_tot (Bohr magnetons per cell) = 2.360

Q: Which of them is the most stable? A: #A.

#A
CuAg4: optimized geometry, PBE.

Cell lengths 6.2900, 6.2900, 9.5930 Å; angles 100.13, 100.13, 26.80 degrees
Sites, in units of the cell vectors:
Ag1 0.0489 0.0489 0.6604
Ag2 0.7572 0.7572 0.7576
Ag3 0.9511 0.9511 0.3396
Ag4 0.6483 0.6483 0.4513
Ag5 0.3517 0.3517 0.5487
Ag6 0.2428 0.2428 0.2424
Ag7 0.1396 0.1396 0.9550
Ag8 0.8604 0.8604 0.0450
Cu1 0.4513 0.4513 0.8522
Cu2 0.5487 0.5487 0.1478

#B
CuAg4: optimized geometry, PBE.

Cell lengths 7.6091, 7.6091, 4.9895 Å; angles 96.22, 96.22, 141.70 degrees
Sites, in units of the cell vectors:
Ag1 0.2538 0.7462 0.7500
Ag2 0.0476 0.9524 0.7500
Ag3 0.3576 0.6424 0.2500
Ag4 0.1489 0.8511 0.2500
Ag5 0.6424 0.3576 0.7500
Ag6 0.9524 0.0476 0.2500
Ag7 0.8511 0.1489 0.7500
Ag8 0.7462 0.2538 0.2500
Cu1 0.4526 0.5474 0.7500
Cu2 0.5474 0.4526 0.2500

Q: Which of them is the most stable? A: #A.

#A
Zn2W: optimized geometry, PBE.

Cell lengths 4.9059, 4.9059, 4.9059 Å; angles 60.00, 60.00, 60.00 degrees
Sites, in units of the cell vectors:
W1 0.0000 0.0000 0.0000
W2 0.2500 0.2500 0.2500
Zn1 0.6250 0.6250 0.6250
Zn2 0.1250 0.6250 0.6250
Zn3 0.6250 0.1250 0.6250
Zn4 0.6250 0.6250 0.1250

- M_tot (Bohr magnetons per cell) = 0.001

#B
Zn2W: optimized geometry, PBE.

Cell lengths 14.2757, 2.7194, 4.5607 Å; angles 90.00, 90.00, 90.00 degrees
Sites, in units of the cell vectors:
Zn1 0.6044 0.0000 0.0000
Zn2 0.1044 0.5000 0.0000
Zn3 0.9417 0.0000 0.0000
Zn4 0.5027 0.0000 0.5000
Zn5 0.4417 0.5000 0.0000
Zn6 0.8400 0.0000 0.5000
Zn7 0.0027 0.5000 0.5000
Zn8 0.3400 0.5000 0.5000
W1 0.2730 0.0000 0.0000
W2 0.7730 0.5000 0.0000
W3 0.6715 0.5000 0.5000
W4 0.1715 0.0000 0.5000

- M_tot (Bohr magnetons per cell) = 0.003

Q: Which of them is the most stable? A: #A.